Here is a relaxed AlSi2Cl crystal from Alexandria. Energies are from GGA-PBEsol.

The calculation puts the total DFT energy (no corrections) at -34.44 eV/cell. Its formation energy (no corrections) is 0.093 eV/atom. The polymorph energy (0 for the lowest one) comes out at 0.00 kcal/mol of atoms. The density of states at the Fermi level is 1.0 states/eV/f.u. The value obtained for the total magnetization is 0.00 μB/cell.

It has space group Immm (No. 71), with a = 2.884 Å, b = 4.346 Å, c = 10.869 Å, α = 90.00°, β = 90.00° and γ = 90.00°. The inequivalent atoms are Al at (0.000, 0.000, 0.000), Si at (0.000, 0.500, 0.290) and Cl at (0.000, 0.000, 0.500).